No. 1
This record from the Alexandria database describes a relaxed structure of TbErAgRu. The functional is PBE.

The structure belongs to space group F-43m (No. 216); the cell edges are 6.9996, 6.9996 and 6.9996 Å and the angles 90.00°, 90.00° and 90.00°. The asymmetric unit holds Tb at (0.0000, 0.0000, 0.0000), Er at (0.0000, 0.0000, 0.5000), Ag at (0.2500, 0.2500, 0.2500) and Ru at (0.2500, 0.2500, 0.7500).

The calculation puts the excess energy over the best structure of this formula in the dataset at 63.0 meV per atom. The value obtained for the energy of formation from the pure elements is -1.4 eV per formula unit.



No. 2
This record from the Alexandria database describes a relaxed structure of TbErAgRu. The functional is PBE.

The structure belongs to space group P4mm (No. 99); the cell edges are 3.4115, 3.4115 and 7.4999 Å and the angles 90.00°, 90.00° and 90.00°. The asymmetric unit holds Tb at (0.0000, 0.0000, 0.0000), Er at (0.0000, 0.0000, 0.5558), Ag at (0.5000, 0.5000, 0.2846) and Ru at (0.5000, 0.5000, 0.7739).

The calculation puts the excess energy over the best structure of this formula in the dataset at 0.0 meV per atom. The value obtained for the energy of formation from the pure elements is -1.7 eV per formula unit.



No. 3
This record from the Alexandria database describes a relaxed structure of ErTmAgRu. The functional is PBE.

The structure belongs to space group F-43m (No. 216); the cell edges are 6.9381, 6.9381 and 6.9381 Å and the angles 90.00°, 90.00° and 90.00°. The asymmetric unit holds Er at (0.0000, 0.0000, 0.0000), Tm at (0.0000, 0.0000, 0.5000), Ag at (0.2500, 0.2500, 0.2500) and Ru at (0.2500, 0.2500, 0.7500).

The calculation puts the excess energy over the best structure of this formula in the dataset at 64.0 meV per atom. The value obtained for the energy of formation from the pure elements is -1.6 eV per formula unit.



> Which value of energy of formation from the pure elements does entry 3 give?

-1.6 eV per formula unit